# 1
First-principles (PBE) data for an optimized crystal structure of PrNd5Tl, as listed in the Alexandria database.

Cell: 5.900 5.900 7.177 Å, 90.00 90.00 90.00°
Positions (direct):
Pr  0.000  0.000  0.000
Nd  0.000  0.500  0.246
Nd  0.000  0.500  0.754
Nd  0.500  0.000  0.246
Nd  0.500  0.000  0.754
Nd  0.500  0.500  0.500
Tl  0.000  0.000  0.500

Calculated values
VASP energy = -4.17 eV/atom
Calculated volume = 250 Å³ per cell
Fermi-level density of states = 1.6959 states/eV/atom
Space-group type = P4/mmm (123)

# 2
First-principles (PBE) data for an optimized crystal structure of PrNd4Tl7, as listed in the Alexandria database.

Cell: 7.322 7.322 11.942 Å, 120.80 120.80 47.09°
Positions (direct):
Pr  0.000  0.000  0.000
Nd  0.270  0.270  0.664
Nd  0.411  0.411  0.218
Nd  0.589  0.589  0.782
Nd  0.730  0.730  0.336
Tl  0.080  0.080  0.319
Tl  0.219  0.219  0.899
Tl  0.368  0.368  0.462
Tl  0.500  0.500  0.000
Tl  0.632  0.632  0.538
Tl  0.781  0.781  0.101
Tl  0.920  0.920  0.681

Calculated values
VASP energy = -3.54 eV/atom
Calculated volume = 389 Å³ per cell
Fermi-level density of states = 0.7479 states/eV/atom
Space-group type = C2/m (12)

# 3
First-principles (PBE) data for an optimized crystal structure of Pr2Nd2Tl, as listed in the Alexandria database.

Cell: 6.527 6.527 8.757 Å, 107.00 107.00 94.82°
Positions (direct):
Pr  0.155  0.155  0.424
Pr  0.281  0.281  0.890
Pr  0.719  0.719  0.110
Pr  0.845  0.845  0.576
Nd  0.236  0.608  0.286
Nd  0.392  0.764  0.714
Nd  0.608  0.236  0.286
Nd  0.764  0.392  0.714
Tl  0.170  0.830  0.000
Tl  0.830  0.170  0.000

Calculated values
VASP energy = -4.38 eV/atom
Calculated volume = 335 Å³ per cell
Fermi-level density of states = 1.0799 states/eV/atom
Space-group type = C2/m (12)

# 4
First-principles (PBE) data for an optimized crystal structure of Pr8Nd3Tl, as listed in the Alexandria database.

Cell: 8.580 8.580 8.580 Å, 117.98 117.98 93.54°
Positions (direct):
Pr  0.120  0.120  0.745
Pr  0.233  0.233  0.494
Pr  0.261  0.767  0.000
Pr  0.375  0.375  0.255
Pr  0.625  0.880  0.000
Pr  0.739  0.739  0.506
Pr  0.767  0.261  0.000
Pr  0.880  0.625  0.000
Nd  0.000  0.000  0.000
Nd  0.250  0.750  0.500
Nd  0.750  0.250  0.500
Tl  0.500  0.500  0.000

Calculated values
VASP energy = -4.16 eV/atom
Calculated volume = 459 Å³ per cell
Fermi-level density of states = 1.6097 states/eV/atom
Space-group type = I-42m (121)

# 5
First-principles (PBE) data for an optimized crystal structure of PrNd2Tl3, as listed in the Alexandria database.

Cell: 3.903 3.903 11.839 Å, 90.00 90.00 90.00°
Positions (direct):
Pr  0.000  0.000  0.000
Nd  0.000  0.000  0.334
Nd  0.000  0.000  0.666
Tl  0.500  0.500  0.169
Tl  0.500  0.500  0.500
Tl  0.500  0.500  0.831

Calculated values
VASP energy = -3.96 eV/atom
Calculated volume = 180 Å³ per cell
Fermi-level density of states = 0.9522 states/eV/atom
Space-group type = P4/mmm (123)

# 6
First-principles (PBE) data for an optimized crystal structure of Pr6NdTl2, as listed in the Alexandria database.

Cell: 10.093 10.093 6.132 Å, 97.28 97.28 72.39°
Positions (direct):
Pr  0.054  0.829  0.967
Pr  0.137  0.386  0.169
Pr  0.171  0.946  0.533
Pr  0.270  0.499  0.700
Pr  0.386  0.137  0.669
Pr  0.499  0.270  0.200
Pr  0.501  0.730  0.800
Pr  0.614  0.863  0.331
Pr  0.730  0.501  0.300
Pr  0.829  0.054  0.467
Pr  0.863  0.614  0.831
Pr  0.946  0.171  0.033
Nd  0.354  0.646  0.250
Nd  0.646  0.354  0.750
Tl  0.018  0.293  0.600
Tl  0.293  0.018  0.100
Tl  0.707  0.982  0.900
Tl  0.982  0.707  0.400

Calculated values
VASP energy = -4.37 eV/atom
Calculated volume = 588 Å³ per cell
Fermi-level density of states = 1.2757 states/eV/atom
Space-group type = C2/c (15)

Number 1: magnetization 0.90 μB per formula unit. Number 2: magnetization 0.00 μB per formula unit. Number 3: magnetization 0.00 μB per formula unit. Number 4: magnetization 0.00 μB per formula unit. Number 5: magnetization 0.00 μB per formula unit. Number 6: magnetization 0.00 μB per formula unit.